(1)
PBE-GGA CdSnTeO6, optimized geometry; space-group type = P-31c (163); formation energy without anion corrections = -1250 meV per atom
1.0
5.360 0.000 0.000
-2.680 4.642 0.000
0.000 0.000 9.768
Cd Sn Te O
2 2 2 12
direct
0.000 0.000 0.000 Cd
0.000 0.000 0.500 Cd
0.333 0.667 0.250 Sn
0.667 0.333 0.750 Sn
0.333 0.667 0.750 Te
0.667 0.333 0.250 Te
0.019 0.375 0.638 O
0.019 0.644 0.862 O
0.356 0.375 0.862 O
0.356 0.981 0.638 O
0.375 0.019 0.138 O
0.375 0.356 0.362 O
0.625 0.644 0.638 O
0.625 0.981 0.862 O
0.644 0.019 0.362 O
0.644 0.625 0.138 O
0.981 0.356 0.138 O
0.981 0.625 0.362 O

***

(2)
PBE-GGA Pr2UMn2N6, optimized geometry; space-group type = R-3m (166); formation energy without anion corrections = -782 meV per atom
1.0
2.850 1.645 5.686
-2.850 1.645 5.686
0.000 -3.291 5.686
Pr U Mn N
2 1 2 6
direct
0.211 0.211 0.211 Pr
0.789 0.789 0.789 Pr
0.000 0.000 0.000 U
0.405 0.405 0.405 Mn
0.595 0.595 0.595 Mn
0.230 0.750 0.750 N
0.250 0.250 0.770 N
0.250 0.770 0.250 N
0.750 0.230 0.750 N
0.750 0.750 0.230 N
0.770 0.250 0.250 N

***

(3)
PBE-GGA AcLa2AgTe5, optimized geometry; space-group type = Cmc2_1 (36); formation energy without anion corrections = -1294 meV per atom
1.0
2.272 -9.833 0.000
2.272 9.833 0.000
0.000 0.000 13.558
Ac La Ag Te
2 4 2 10
direct
0.197 0.803 0.500 Ac
0.803 0.197 0.000 Ac
0.108 0.892 0.175 La
0.118 0.882 0.800 La
0.882 0.118 0.300 La
0.892 0.108 0.675 La
0.437 0.563 0.951 Ag
0.563 0.437 0.451 Ag
0.040 0.960 0.566 Te
0.291 0.709 0.175 Te
0.315 0.685 0.825 Te
0.365 0.635 0.492 Te
0.499 0.501 0.267 Te
0.501 0.499 0.767 Te
0.635 0.365 0.992 Te
0.685 0.315 0.325 Te
0.709 0.291 0.675 Te
0.960 0.040 0.066 Te

***

(4)
PBE-GGA Cr3PtBr, optimized geometry; excess energy over the best structure of this formula in the dataset = 468 meV per atom; space-group type = Pm-3m (221); formation energy without anion corrections = 1389 meV per atom
1.0
4.307 0.000 0.000
0.000 4.307 0.000
0.000 0.000 4.307
Cr Pt Br
3 1 1
direct
0.000 0.000 0.500 Cr
0.000 0.500 0.000 Cr
0.500 0.000 0.000 Cr
0.500 0.500 0.500 Pt
0.000 0.000 0.000 Br

***

(5)
PBE-GGA LiCa3Mn, optimized geometry; excess energy over the best structure of this formula in the dataset = 672 meV per atom; space-group type = Pm-3m (221)
1.0
5.541 0.000 0.000
0.000 5.541 0.000
0.000 0.000 5.541
Li Ca Mn
1 3 1
direct
0.000 0.000 0.000 Li
0.000 0.000 0.500 Ca
0.000 0.500 0.000 Ca
0.500 0.000 0.000 Ca
0.500 0.500 0.500 Mn

***

(6)
PBE-GGA Ba2TmAu, optimized geometry; E = -0.20572 Ry/atom; space-group type = R-3m (166)
1.0
4.010 0.000 0.000
-2.005 3.473 0.000
0.000 0.000 35.728
Ba Tm Au
6 3 3
direct
0.000 0.000 0.103 Ba
0.000 0.000 0.897 Ba
0.333 0.667 0.564 Ba
0.333 0.667 0.770 Ba
0.667 0.333 0.230 Ba
0.667 0.333 0.436 Ba
0.000 0.000 0.000 Tm
0.333 0.667 0.667 Tm
0.667 0.333 0.333 Tm
0.000 0.000 0.500 Au
0.333 0.667 0.167 Au
0.667 0.333 0.833 Au

***

| no. | total magnetization (μB per formula unit) |
| --- | --- |
| 1 | 0.00 |
| 2 | 4.09 |
| 3 | 0.00 |
| 4 | 0.00 |
| 5 | 0.58 |
| 6 | 0.00 |